1.
VASP calculation (PBE) on a geometry-optimized Li2ZrCd structure.

The structure belongs to space group Pmmm (No. 47); the cell edges are 3.065, 5.092 and 5.226 Å and the angles 90.00°, 90.00° and 90.00°. The distinct sites, in fractional coordinates, are Li at (0.000, 0.000, 0.000), Li at (0.500, 0.000, 0.500), Zr at (0.000, 0.500, 0.500) and Cd at (0.500, 0.500, 0.000).

The calculated formation energy comes out at 0.09 eV/atom.


2.
VASP calculation (PBE) on a geometry-optimized LiZr2Cd structure.

The structure belongs to space group Cmmm (No. 65); the cell edges are 5.740, 8.951 and 3.241 Å and the angles 90.00°, 90.00° and 90.00°. The distinct sites, in fractional coordinates, are Li at (0.000, 0.000, 0.000), Zr at (0.250, 0.250, 0.500) and Cd at (0.000, 0.500, 0.000).

The calculated formation energy comes out at 0.09 eV/atom.


3.
VASP calculation (PBE) on a geometry-optimized LiZrCd structure.

The structure belongs to space group P3m1 (No. 156); the cell edges are 4.8669, 4.8669 and 2.9009 Å and the angles 90.00°, 90.00° and 120.00°. The distinct sites, in fractional coordinates, are Li at (0.0000, 0.0000, 0.0000), Zr at (0.6667, 0.3333, 0.5018) and Cd at (0.3333, 0.6667, 0.0026).

The calculated formation energy comes out at -0.01 eV/atom. The relative energy among the computed polymorphs comes out at 141 meV/atom.


4.
VASP calculation (PBE) on a geometry-optimized LiZr3Cd6 structure.

The structure belongs to space group P2_1/m (No. 11); the cell edges are 9.412, 4.484 and 9.987 Å and the angles 90.00°, 94.16° and 90.00°. The distinct sites, in fractional coordinates, are Li at (0.052, 0.250, 0.391), Zr at (0.247, 0.250, 0.981), Zr at (0.351, 0.750, 0.785), Zr at (0.451, 0.250, 0.595), Cd at (0.047, 0.750, 0.886), Cd at (0.138, 0.250, 0.677), Cd at (0.145, 0.750, 0.190), Cd at (0.230, 0.750, 0.490), Cd at (0.337, 0.250, 0.294) and Cd at (0.445, 0.750, 0.097).

The calculated formation energy comes out at -0.12 eV/atom.


5.
VASP calculation (PBE) on a geometry-optimized LiZr2Cd structure.

The structure belongs to space group P4/mmm (No. 123); the cell edges are 4.215, 4.215 and 4.613 Å and the angles 90.00°, 90.00° and 90.00°. The distinct sites, in fractional coordinates, are Li at (0.000, 0.000, 0.000), Zr at (0.000, 0.500, 0.500) and Cd at (0.500, 0.500, 0.000).

The calculated formation energy comes out at 0.06 eV/atom.


6.
VASP calculation (PBE) on a geometry-optimized LiZr2Cd structure.

The structure belongs to space group P4/mmm (No. 123); the cell edges are 3.377, 3.377 and 7.140 Å and the angles 90.00°, 90.00° and 90.00°. The distinct sites, in fractional coordinates, are Li at (0.000, 0.000, 0.000), Zr at (0.500, 0.500, 0.228) and Cd at (0.000, 0.000, 0.500).

The calculated formation energy comes out at 0.12 eV/atom.